The following is a GGA-PBE calculation of CePm2Pd after structural relaxation, from Alexandria.

Cell: 5.4067 5.4067 3.5417 Å, 90.00 90.00 90.00°
Sites, in units of the cell vectors:
Ce 0.0000 0.0000 0.0000
Pm 0.0000 0.5000 0.5000
Pm 0.5000 0.0000 0.5000
Pd 0.5000 0.5000 0.0000

- Final energy: -5.3134 eV/atom
- SG: P4/mmm (123)
- Relative energy among the computed polymorphs: 145 meV/atom
- Crystal system: tetragonal
- Energy relative to the elements: -15.09 kJ per mole of atoms